The following is a DFT calculation (PBE with a Hubbard U) of an optimized crystal structure of Nd2VMoO6.

Summary:
symmetry = P2_1/c, No. 14
calculated volume = 130 Å³/f.u.
density = 6.8 Mg/m³
energy = -0.5914 Ry per atom

Lattice parameters (Å, degrees): 5.5426 5.8992 7.9528 90.00 90.23 90.00
Each line ends with the local moment (μB).
Element x y z (fractional)
Nd 0.0187 0.9381 0.2509  0.01
Nd 0.5187 0.5619 0.7509  0.01
Nd 0.9813 0.0619 0.7491  0.01
Nd 0.4813 0.4381 0.2491  0.01
V 0.5000 0.0000 0.5000  1.93
V 0.0000 0.5000 0.0000  1.93
Mo 0.5000 0.0000 0.0000  2.65
Mo 0.0000 0.5000 0.5000  2.65
O 0.2985 0.6923 0.0529  0.01
O 0.7985 0.8077 0.5529  0.01
O 0.7015 0.3077 0.9471  0.01
O 0.2015 0.1923 0.4471  0.01
O 0.3103 0.7017 0.4397  0.03
O 0.8103 0.7983 0.9397  0.03
O 0.6897 0.2983 0.5603  0.03
O 0.1897 0.2017 0.0603  0.03
O 0.8905 0.5435 0.2418  0.01
O 0.3905 0.9565 0.7418  0.01
O 0.1095 0.4565 0.7582  0.01
O 0.6095 0.0435 0.2582  0.01